A plane-wave DFT calculation with GGA-PBEsol was carried out for a relaxed CuSbCl2 crystal.

Structure (CIF):
```
data_CuSbCl2
_cell_length_a 4.953
_cell_length_b 3.260
_cell_length_c 5.426
_cell_angle_alpha 90.00
_cell_angle_beta 103.29
_cell_angle_gamma 90.00
_space_group_name_H-M_alt 'P 1 m 1'
_space_group_IT_number 6
_space_group_name_Hall 'P -2y'
loop_
_atom_site_label
_atom_site_type_symbol
_atom_site_fract_x
_atom_site_fract_y
_atom_site_fract_z
_atom_site_occupancy
Cu1 Cu 0.000 0.000 0.000 1
Sb1 Sb 0.339 0.500 0.300 1
Cl1 Cl 0.018 0.000 0.579 1
Cl2 Cl 0.645 0.500 0.958 1
```

Values from the calculation:
**Raw formation energy**: -0.35 eV/atom
**Crystal system**: monoclinic
**Energy relative to the lowest polymorph listed for this composition**: 0.00 eV per formula unit

---

A plane-wave DFT calculation with GGA-PBEsol was carried out for a relaxed CuSbCl2 crystal.

Structure (CIF):
```
data_CuSbCl2
_cell_length_a 3.644
_cell_length_b 5.889
_cell_length_c 8.216
_cell_angle_alpha 90.00
_cell_angle_beta 90.00
_cell_angle_gamma 90.00
_space_group_name_H-M_alt 'C m m 2'
_space_group_IT_number 35
_space_group_name_Hall 'C 2 -2'
loop_
_atom_site_label
_atom_site_type_symbol
_atom_site_fract_x
_atom_site_fract_y
_atom_site_fract_z
_atom_site_occupancy
Cu1 Cu 0.000 0.000 0.000 1
Sb1 Sb 0.000 0.500 0.774 1
Cl1 Cl 0.000 0.000 0.524 1
Cl2 Cl 0.000 0.500 0.153 1
```

Values from the calculation:
**Raw formation energy**: -0.28 eV/atom
**Crystal system**: orthorhombic
**Energy relative to the lowest polymorph listed for this composition**: 0.30 eV per formula unit

---

A plane-wave DFT calculation with GGA-PBEsol was carried out for a relaxed ScCu2Cl crystal.

Structure (CIF):
```
data_ScCu2Cl
_cell_length_a 4.925
_cell_length_b 10.375
_cell_length_c 3.312
_cell_angle_alpha 90.00
_cell_angle_beta 131.74
_cell_angle_gamma 90.00
_space_group_name_H-M_alt 'C 1 2/m 1'
_space_group_IT_number 12
_space_group_name_Hall '-C 2y'
loop_
_atom_site_label
_atom_site_type_symbol
_atom_site_fract_x
_atom_site_fract_y
_atom_site_fract_z
_atom_site_occupancy
Sc1 Sc 0.000 0.000 0.000 1
Cu1 Cu 0.250 0.250 0.500 1
Cl1 Cl 0.000 0.500 0.000 1
```

Values from the calculation:
**Raw formation energy**: -0.29 eV/atom
**Crystal system**: monoclinic
**Energy relative to the lowest polymorph listed for this composition**: 0.00 eV per formula unit

---

A plane-wave DFT calculation with GGA-PBEsol was carried out for a relaxed ScCu2Cl crystal.

Structure (CIF):
```
data_ScCu2Cl
_cell_length_a 3.2733
_cell_length_b 3.2733
_cell_length_c 22.1781
_cell_angle_alpha 90.00
_cell_angle_beta 90.00
_cell_angle_gamma 120.00
_space_group_name_H-M_alt 'R -3 m'
_space_group_IT_number 166
_space_group_name_Hall '-R 3 2"'
loop_
_atom_site_label
_atom_site_type_symbol
_atom_site_fract_x
_atom_site_fract_y
_atom_site_fract_z
_atom_site_occupancy
Sc1 Sc 0.0000 0.0000 0.0000 1
Cu1 Cu 0.0000 0.0000 0.2462 1
Cl1 Cl 0.0000 0.0000 0.5000 1
```

Values from the calculation:
**Raw formation energy**: -0.08 eV/atom
**Crystal system**: trigonal
**Energy relative to the lowest polymorph listed for this composition**: 0.84 eV per formula unit

---

A plane-wave DFT calculation with GGA-PBEsol was carried out for a relaxed ScCuCl2 crystal.

Structure (CIF):
```
data_ScCuCl2
_cell_length_a 6.137
_cell_length_b 8.046
_cell_length_c 3.358
_cell_angle_alpha 90.00
_cell_angle_beta 119.58
_cell_angle_gamma 90.00
_space_group_name_H-M_alt 'C 1 2/m 1'
_space_group_IT_number 12
_space_group_name_Hall '-C 2y'
loop_
_atom_site_label
_atom_site_type_symbol
_atom_site_fract_x
_atom_site_fract_y
_atom_site_fract_z
_atom_site_occupancy
Sc1 Sc 0.000 0.000 0.000 1
Cu1 Cu 0.000 0.500 0.000 1
Cl1 Cl 0.250 0.250 0.000 1
```

Values from the calculation:
**Raw formation energy**: -0.66 eV/atom
**Crystal system**: monoclinic
**Energy relative to the lowest polymorph listed for this composition**: 1.44 eV per formula unit

---

A plane-wave DFT calculation with GGA-PBEsol was carried out for a relaxed ScCuCl2 crystal.

Structure (CIF):
```
data_ScCuCl2
_cell_length_a 3.470
_cell_length_b 3.291
_cell_length_c 7.464
_cell_angle_alpha 90.00
_cell_angle_beta 102.90
_cell_angle_gamma 90.00
_space_group_name_H-M_alt 'P 1 m 1'
_space_group_IT_number 6
_space_group_name_Hall 'P -2y'
loop_
_atom_site_label
_atom_site_type_symbol
_atom_site_fract_x
_atom_site_fract_y
_atom_site_fract_z
_atom_site_occupancy
Sc1 Sc 0.000 0.000 0.000 1
Cu1 Cu 0.410 0.500 0.808 1
Cl1 Cl 0.120 0.500 0.251 1
Cl2 Cl 0.825 0.000 0.656 1
```

Values from the calculation:
**Raw formation energy**: -1.02 eV/atom
**Crystal system**: monoclinic
**Energy relative to the lowest polymorph listed for this composition**: 0.00 eV per formula unit

---

A plane-wave DFT calculation with GGA-PBEsol was carried out for a relaxed ScCu2Cl crystal.

Structure (CIF):
```
data_ScCu2Cl
_cell_length_a 3.570
_cell_length_b 3.570
_cell_length_c 5.061
_cell_angle_alpha 90.00
_cell_angle_beta 90.00
_cell_angle_gamma 90.00
_space_group_name_H-M_alt 'P 4/m m m'
_space_group_IT_number 123
_space_group_name_Hall '-P 4 2'
loop_
_atom_site_label
_atom_site_type_symbol
_atom_site_fract_x
_atom_site_fract_y
_atom_site_fract_z
_atom_site_occupancy
Sc1 Sc 0.000 0.000 0.000 1
Cu1 Cu 0.500 0.500 0.236 1
Cl1 Cl 0.000 0.000 0.500 1
```

Values from the calculation:
**Raw formation energy**: -0.11 eV/atom
**Crystal system**: tetragonal
**Energy relative to the lowest polymorph listed for this composition**: 0.70 eV per formula unit

---

A plane-wave DFT calculation with GGA-PBEsol was carried out for a relaxed CuSeCl crystal.

Structure (CIF):
```
data_CuSeCl
_cell_length_a 3.349
_cell_length_b 3.349
_cell_length_c 10.995
_cell_angle_alpha 90.00
_cell_angle_beta 90.00
_cell_angle_gamma 90.00
_space_group_name_H-M_alt 'I 4 m m'
_space_group_IT_number 107
_space_group_name_Hall 'I 4 -2'
loop_
_atom_site_label
_atom_site_type_symbol
_atom_site_fract_x
_atom_site_fract_y
_atom_site_fract_z
_atom_site_occupancy
Cu1 Cu 0.000 0.000 0.000 1
Se1 Se 0.000 0.000 0.434 1
Cl1 Cl 0.000 0.000 0.202 1
```

Values from the calculation:
**Raw formation energy**: -0.02 eV/atom
**Crystal system**: tetragonal

---

A plane-wave DFT calculation with GGA-PBEsol was carried out for a relaxed Cu2SeCl crystal.

Structure (CIF):
```
data_Cu2SeCl
_cell_length_a 5.377
_cell_length_b 5.377
_cell_length_c 10.749
_cell_angle_alpha 90.00
_cell_angle_beta 90.00
_cell_angle_gamma 90.00
_space_group_name_H-M_alt 'I -4 2 d'
_space_group_IT_number 122
_space_group_name_Hall 'I -4 2bw'
loop_
_atom_site_label
_atom_site_type_symbol
_atom_site_fract_x
_atom_site_fract_y
_atom_site_fract_z
_atom_site_occupancy
Cu1 Cu 0.244 0.250 0.125 1
Se1 Se 0.000 0.000 0.000 1
Cl1 Cl 0.000 0.000 0.500 1
```

Values from the calculation:
**Raw formation energy**: -0.22 eV/atom
**Crystal system**: tetragonal
**Energy relative to the lowest polymorph listed for this composition**: 0.00 eV per formula unit

---

A plane-wave DFT calculation with GGA-PBEsol was carried out for a relaxed Cu2SeCl crystal.

Structure (CIF):
```
data_Cu2SeCl
_cell_length_a 6.287
_cell_length_b 6.287
_cell_length_c 6.287
_cell_angle_alpha 90.00
_cell_angle_beta 90.00
_cell_angle_gamma 90.00
_space_group_name_H-M_alt 'F m -3 m'
_space_group_IT_number 225
_space_group_name_Hall '-F 4 2 3'
loop_
_atom_site_label
_atom_site_type_symbol
_atom_site_fract_x
_atom_site_fract_y
_atom_site_fract_z
_atom_site_occupancy
Cu1 Cu 0.250 0.250 0.250 1
Se1 Se 0.000 0.000 0.000 1
Cl1 Cl 0.000 0.000 0.500 1
```

Values from the calculation:
**Raw formation energy**: 0.30 eV/atom
**Crystal system**: cubic
**Energy relative to the lowest polymorph listed for this composition**: 2.10 eV per formula unit

---

A plane-wave DFT calculation with GGA-PBEsol was carried out for a relaxed Cu2SeCl crystal.

Structure (CIF):
```
data_Cu2SeCl
_cell_length_a 6.305
_cell_length_b 6.305
_cell_length_c 6.305
_cell_angle_alpha 90.00
_cell_angle_beta 90.00
_cell_angle_gamma 90.00
_space_group_name_H-M_alt 'F -4 3 m'
_space_group_IT_number 216
_space_group_name_Hall 'F -4 2 3'
loop_
_atom_site_label
_atom_site_type_symbol
_atom_site_fract_x
_atom_site_fract_y
_atom_site_fract_z
_atom_site_occupancy
Cu1 Cu 0.000 0.000 0.000 1
Cu2 Cu 0.250 0.250 0.250 1
Se1 Se 0.000 0.000 0.500 1
Cl1 Cl 0.250 0.250 0.750 1
```

Values from the calculation:
**Raw formation energy**: 0.54 eV/atom
**Crystal system**: cubic
**Energy relative to the lowest polymorph listed for this composition**: 3.07 eV per formula unit

---

A plane-wave DFT calculation with GGA-PBEsol was carried out for a relaxed Cu2SeCl crystal.

Structure (CIF):
```
data_Cu2SeCl
_cell_length_a 3.263
_cell_length_b 6.854
_cell_length_c 6.877
_cell_angle_alpha 90.00
_cell_angle_beta 90.00
_cell_angle_gamma 90.00
_space_group_name_H-M_alt 'I m m m'
_space_group_IT_number 71
_space_group_name_Hall '-I 2 2'
loop_
_atom_site_label
_atom_site_type_symbol
_atom_site_fract_x
_atom_site_fract_y
_atom_site_fract_z
_atom_site_occupancy
Cu1 Cu 0.000 0.000 0.249 1
Se1 Se 0.000 0.500 0.000 1
Cl1 Cl 0.000 0.500 0.500 1
```

Values from the calculation:
**Raw formation energy**: 0.00 eV/atom
**Crystal system**: orthorhombic
**Energy relative to the lowest polymorph listed for this composition**: 0.88 eV per formula unit

---

A plane-wave DFT calculation with GGA-PBEsol was carried out for a relaxed CuSeCl crystal.

Structure (CIF):
```
data_CuSeCl
_cell_length_a 2.942
_cell_length_b 2.942
_cell_length_c 13.045
_cell_angle_alpha 90.00
_cell_angle_beta 90.00
_cell_angle_gamma 90.00
_space_group_name_H-M_alt 'I 4 m m'
_space_group_IT_number 107
_space_group_name_Hall 'I 4 -2'
loop_
_atom_site_label
_atom_site_type_symbol
_atom_site_fract_x
_atom_site_fract_y
_atom_site_fract_z
_atom_site_occupancy
Cu1 Cu 0.000 0.000 0.000 1
Se1 Se 0.000 0.000 0.633 1
Cl1 Cl 0.000 0.000 0.386 1
```

Values from the calculation:
**Raw formation energy**: 0.10 eV/atom
**Crystal system**: tetragonal

---

A plane-wave DFT calculation with GGA-PBEsol was carried out for a relaxed Cu2SeCl crystal.

Structure (CIF):
```
data_Cu2SeCl
_cell_length_a 3.669
_cell_length_b 3.669
_cell_length_c 5.755
_cell_angle_alpha 90.00
_cell_angle_beta 90.00
_cell_angle_gamma 90.00
_space_group_name_H-M_alt 'P 4 m m'
_space_group_IT_number 99
_space_group_name_Hall 'P 4 -2'
loop_
_atom_site_label
_atom_site_type_symbol
_atom_site_fract_x
_atom_site_fract_y
_atom_site_fract_z
_atom_site_occupancy
Cu1 Cu 0.000 0.500 0.000 1
Se1 Se 0.000 0.000 0.258 1
Cl1 Cl 0.500 0.500 0.720 1
```

Values from the calculation:
**Raw formation energy**: -0.22 eV/atom
**Crystal system**: tetragonal
**Energy relative to the lowest polymorph listed for this composition**: 0.03 eV per formula unit

---

A plane-wave DFT calculation with GGA-PBEsol was carried out for a relaxed CuTeSeCl crystal.

Structure (CIF):
```
data_CuTeSeCl
_cell_length_a 7.904
_cell_length_b 4.784
_cell_length_c 11.634
_cell_angle_alpha 90.00
_cell_angle_beta 117.20
_cell_angle_gamma 90.00
_space_group_name_H-M_alt 'P 1 21/c 1'
_space_group_IT_number 14
_space_group_name_Hall '-P 2ybc'
loop_
_atom_site_label
_atom_site_type_symbol
_atom_site_fract_x
_atom_site_fract_y
_atom_site_fract_z
_atom_site_occupancy
Cu1 Cu 0.180 0.134 0.249 1
Te1 Te 0.272 0.002 0.635 1
Se1 Se 0.421 0.705 0.851 1
Cl1 Cl 0.081 0.141 0.881 1
```

Values from the calculation:
**Raw formation energy**: -0.27 eV/atom
**Crystal system**: monoclinic